A geometry-optimized LiSbPb2 structure. Source: Alexandria, functional GGA-PBEsol.

It has space group Pm (No. 6), with a = 3.3461 Å, b = 4.4380 Å, c = 7.1915 Å, α = 90.00°, β = 95.72° and γ = 90.00°. Symmetry generates all atoms from Li at (0.0000, 0.0000, 0.0000), Sb at (0.4683, 0.5000, 0.8386), Pb at (0.1343, 0.0000, 0.5375) and Pb at (0.5361, 0.5000, 0.2662).

For the uncorrected formation energy, the calculation gives -0.143 eV per atom.

***

A geometry-optimized RbMnCo3 structure. Source: Alexandria, functional GGA-PBEsol.

It has space group Pm-3m (No. 221), with a = 4.3237 Å, b = 4.3237 Å, c = 4.3237 Å, α = 90.00°, β = 90.00° and γ = 90.00°. Symmetry generates all atoms from Rb at (0.0000, 0.0000, 0.0000), Mn at (0.5000, 0.5000, 0.5000) and Co at (0.0000, 0.5000, 0.5000).

As for the energy of formation: 1.4215 eV/atom.

***

A geometry-optimized CaPt2Cl structure. Source: Alexandria, functional GGA-PBEsol.

It has space group P2/m (No. 10), with a = 2.9853 Å, b = 5.4805 Å, c = 4.4390 Å, α = 90.00°, β = 90.28° and γ = 90.00°. Symmetry generates all atoms from Ca at (0.0000, 0.0000, 0.0000), Pt at (0.2498, 0.5000, 0.7511) and Cl at (0.5000, 0.0000, 0.5000).

For the uncorrected formation energy, the calculation gives -0.632 eV per atom. The value obtained for the energy above the most stable polymorph in this dataset is 0.57 eV per formula unit.